*w*
VASP calculation (GGA-PBE) on a relaxed structure of Ba3USe6.

Geometry as POSCAR:
```
Ba3USe6
1.0
6.281 3.626 5.176
-6.281 3.626 5.176
0.000 -7.253 5.176
Ba U Se
6 2 12
Cartesian
-3.972 0.374 6.469
-2.309 -3.253 9.057
1.662 -3.626 6.469
-1.662 3.626 9.057
2.309 3.253 6.469
3.972 -0.374 9.057
0.000 0.000 0.000
0.000 0.000 7.763
-5.418 -1.590 8.793
-1.332 -5.488 6.734
-1.332 -1.765 6.205
-4.086 3.897 6.734
-0.863 2.036 6.205
-2.195 0.271 9.322
2.195 -0.271 6.205
0.863 -2.036 9.322
4.086 -3.897 8.793
1.332 1.765 9.322
1.332 5.488 8.793
5.418 1.590 6.734
```

*x*
VASP calculation (GGA-PBE) on a relaxed structure of Ba3USe6.

Geometry as POSCAR:
```
Ba3USe6
1.0
7.631 0.000 0.000
0.000 8.265 0.000
-7.597 0.000 11.087
Ba U Se
6 2 12
Cartesian
0.000 0.000 0.000
-3.799 4.132 5.544
-4.016 0.667 8.278
-0.218 3.465 2.735
0.251 4.800 8.353
4.050 7.597 2.809
0.017 0.000 5.544
3.816 4.132 0.000
-2.173 1.434 4.929
-5.972 2.698 10.472
-1.228 5.967 4.746
-5.026 6.430 10.289
0.948 0.394 3.042
-2.851 3.738 8.586
2.885 4.527 2.502
-0.914 7.871 8.045
5.060 1.834 0.798
1.261 2.298 6.342
6.005 5.566 0.615
2.207 6.831 6.159
```

The most stable of them is *w*.

*w*
VASP calculation (GGA-PBE) on a relaxed structure of BaVSe4.

Geometry as POSCAR:
```
BaVSe4
1.0
7.626 -3.556 0.000
7.626 3.556 0.000
-0.656 0.000 5.643
Ba V Se
2 2 8
Cartesian
2.877 0.000 1.302
11.719 0.000 4.341
6.687 0.000 3.931
7.909 0.000 1.712
5.885 1.590 1.979
7.626 1.853 0.000
4.176 0.000 4.311
8.711 1.590 3.664
5.885 -1.590 1.979
10.420 0.000 1.332
7.626 -1.853 0.000
8.711 -1.590 3.664
```

*x*
VASP calculation (GGA-PBE) on a relaxed structure of BaVSe4.

Geometry as POSCAR:
```
BaVSe4
1.0
4.540 -6.791 0.000
4.540 6.791 0.000
-2.619 0.000 5.276
Ba V Se
2 2 8
Cartesian
2.576 4.876 3.957
3.885 -4.876 1.319
3.885 0.002 1.319
2.576 -0.002 3.957
0.127 0.808 4.414
2.551 1.964 2.286
1.436 -0.808 1.776
5.220 1.964 0.352
1.241 -1.964 4.924
5.025 0.808 3.500
3.911 -1.964 2.990
6.334 -0.808 0.862
```

The most stable of them is *w*.

*w*
VASP calculation (GGA-PBE) on a relaxed structure of BaWSe.

Geometry as POSCAR:
```
BaWSe
1.0
0.000 3.859 3.859
3.859 0.000 3.859
3.859 3.859 0.000
Ba W Se
1 1 1
Cartesian
0.000 0.000 0.000
5.788 5.788 5.788
1.929 1.929 1.929
```

*x*
VASP calculation (GGA-PBE) on a relaxed structure of BaWSe.

Geometry as POSCAR:
```
BaWSe
1.0
3.439 0.000 0.000
-1.719 2.978 0.000
0.000 0.000 7.307
Ba W Se
1 1 1
Cartesian
0.000 0.000 0.000
0.000 1.985 4.548
1.719 0.993 2.937
```

*y*
VASP calculation (GGA-PBE) on a relaxed structure of BaWSe.

Geometry as POSCAR:
```
BaWSe
1.0
0.000 3.712 3.712
3.712 0.000 3.712
3.712 3.712 0.000
Ba W Se
1 1 1
Cartesian
0.000 0.000 0.000
3.712 3.712 3.712
1.856 1.856 1.856
```

*z*
VASP calculation (GGA-PBE) on a relaxed structure of BaWSe.

Geometry as POSCAR:
```
BaWSe
1.0
-1.704 1.704 6.264
1.704 -1.704 6.264
1.704 1.704 -6.264
Ba W Se
1 1 1
Cartesian
0.000 0.000 0.000
0.000 0.000 3.743
0.000 0.000 8.955
```

The most stable of them is *z*.

*w*
VASP calculation (GGA-PBE) on a relaxed structure of BaY3Se.

Geometry as POSCAR:
```
BaY3Se
1.0
5.684 0.000 0.000
0.000 5.684 0.000
0.000 0.000 5.684
Ba Y Se
1 3 1
Cartesian
0.000 0.000 0.000
0.000 0.000 2.842
0.000 2.842 0.000
2.842 0.000 0.000
2.842 2.842 2.842
```

*x*
VASP calculation (GGA-PBE) on a relaxed structure of BaY3Se.

Geometry as POSCAR:
```
BaY3Se
1.0
5.620 0.000 0.000
0.000 5.620 0.000
0.000 0.000 5.620
Ba Y Se
1 3 1
Cartesian
0.000 0.000 0.000
0.000 2.810 2.810
2.810 0.000 2.810
2.810 2.810 0.000
2.810 2.810 2.810
```

The most stable of them is *x*.

*w*
VASP calculation (GGA-PBE) on a relaxed structure of BaYSe.

Geometry as POSCAR:
```
BaYSe
1.0
-1.889 1.889 7.008
1.889 -1.889 7.008
1.889 1.889 -7.008
Ba Y Se
1 1 1
Cartesian
0.000 0.000 0.000
0.000 0.000 3.756
0.000 0.000 9.347
```

*x*
VASP calculation (GGA-PBE) on a relaxed structure of BaYSe.

Geometry as POSCAR:
```
BaYSe
1.0
4.145 0.000 0.000
-2.073 3.590 0.000
0.000 0.000 7.318
Ba Y Se
1 1 1
Cartesian
0.000 0.000 0.000
0.000 2.393 3.803
2.073 1.197 2.209
```

The most stable of them is *x*.

*w*
VASP calculation (GGA-PBE) on a relaxed structure of BaYSe.

Geometry as POSCAR:
```
BaYSe
1.0
0.000 3.672 3.672
3.672 0.000 3.672
3.672 3.672 0.000
Ba Y Se
1 1 1
Cartesian
0.000 0.000 0.000
3.672 3.672 3.672
5.507 5.507 5.507
```

*x*
VASP calculation (GGA-PBE) on a relaxed structure of BaYSe.

Geometry as POSCAR:
```
BaYSe
1.0
0.000 3.885 3.885
3.885 0.000 3.885
3.885 3.885 0.000
Ba Y Se
1 1 1
Cartesian
0.000 0.000 0.000
5.827 5.827 5.827
1.942 1.942 1.942
```

The most stable of them is *w*.